<w>
ZnCdAg: optimized geometry, PBE.

abc: 2.9787 2.9787 12.1908
angles: 90.00 90.00 90.00
With the nearest neighbours (Å) after each atom.
Space group I4mm (No. 107)
Asymmetric unit:
Zn: 0.0000 0.0000 0.0000  4 Ag 2.80, 4 Cd 2.94, 4 Zn 2.98
Cd: 0.0000 0.0000 0.6685  4 Zn 2.94, 4 Cd 2.98, 4 Ag 3.05
Ag: 0.0000 0.0000 0.3492  4 Zn 2.80, 4 Ag 2.98, 4 Cd 3.05

Properties
calculated volume: 108 Å³/cell

=====

<x>
ZnCdAg: optimized geometry, PBE.

abc: 4.4156 4.4212 7.5452
angles: 73.02 89.65 60.48
With the nearest neighbours (Å) after each atom.
Space group P1 (No. 1)
Asymmetric unit:
Zn: 0.0000 0.0000 0.0000  4 Ag 2.71-2.75, 4 Cd 2.83-2.89, 3 Zn 2.97-3.03
Zn: 0.2577 0.4759 0.7788  6 Ag 2.63-2.83, 2 Cd 2.71-2.90
Cd: 0.1311 0.7340 0.3976  2 Zn 2.71-2.83, 3 Cd 2.96-2.98, 3 Ag 2.97-3.00
Cd: 0.3971 0.2108 0.1857  4 Zn 2.86-2.90, 3 Cd 2.96-2.98
Ag: 0.6211 0.7521 0.8681  6 Zn 2.63-2.73
Ag: 0.8685 0.2530 0.6134  4 Zn 2.75-2.83, 3 Cd 2.97-3.00

Properties
calculated volume: 121 Å³/cell

=====

<y>
ZnCdAg: optimized geometry, PBE.

abc: 3.4103 4.7819 13.4784
angles: 90.00 90.00 90.00
With the nearest neighbours (Å) after each atom.
Space group Fmm2 (No. 42)
Asymmetric unit:
Zn: 0.0000 0.0000 0.0000  2 Ag 2.69, 2 Cd 2.83, 4 Zn 2.94
Cd: 0.0000 0.0000 0.6676  2 Zn 2.83, 4 Cd 2.94, 2 Ag 2.94
Ag: 0.0000 0.0000 0.3455  2 Zn 2.69, 4 Ag 2.94, 2 Cd 2.94

Properties
calculated volume: 220 Å³/cell

=====

Quick one: most stable of them? <w>